The following is a PBE calculation of crystalline HfZrAl2Cu2Ni2 at its relaxed geometry, from OQMD.

Geometry as POSCAR:
```
HfZrAl2Cu2Ni2
1.0
4.344 0.000 0.000
0.000 4.344 0.000
0.000 0.000 6.145
Hf Zr Al Cu Ni
1 1 2 2 2
Direct
0.000 0.000 0.000
0.500 0.500 0.500
0.000 0.000 0.500
0.500 0.500 0.000
0.000 0.500 0.751
0.500 0.000 0.249
0.000 0.500 0.249
0.500 0.000 0.751
```

Its space group is P-4m2 (115). The final energy is -6.066 eV/atom. As for the total magnetization: 0.00 μB/cell.

The following is a PBE calculation of crystalline TbHoAg6 at its relaxed geometry, from OQMD.

Geometry as POSCAR:
```
TbHoAg6
1.0
5.015 0.000 0.000
0.000 6.121 0.000
0.000 0.000 5.212
Tb Ho Ag
1 1 6
Direct
0.000 0.000 0.000
0.500 0.500 0.692
0.000 0.257 0.506
0.000 0.500 0.024
0.000 0.743 0.506
0.500 0.000 0.663
0.500 0.248 0.186
0.500 0.752 0.186
```

Its space group is Pmm2 (25). The final energy is -3.535 eV/atom. As for the total magnetization: 0.00 μB/cell.

Which value of final energy does entry 2 give?
-3.535 eV/atom

Among the records above, which one has the highest final energy?
TbHoAg6

Among the records above, which one has the highest final energy?
TbHoAg6

What is the final energy in the second record?
-3.535 eV/atom